Cr2BiPbO8 | GGA+U | optimized geometry

Properties
density: 5.12 g/cm3
electronic total energy: -6.383 eV/atom

a = 5.7681 Å, b = 5.7681 Å, c = 7.3001 Å
α = 90.00°, β = 90.00°, γ = 120.00°
Space group P-3m1 (No. 164)
Asymmetric unit:
Cr  0.3333  0.6667  0.2926 [2 per cell]
Bi  0.0000  0.0000  0.0000 [1 per cell]
Pb  0.0000  0.0000  0.5000 [1 per cell]
O  0.1693  0.3386  0.2213 [6 per cell]
O  0.3333  0.6667  0.5163 [2 per cell]